Material: HfAuS2
Method: DFT, PBE-GGA
State: optimized geometry

Results
**Formation energy from raw total energies**: -0.426 eV/atom
**V**: 17.2 Å³ per atom
**E**: -23.19 eV per formula unit

Lattice parameters (Å, degrees): 6.5108 6.5108 6.5108 90.00 90.00 90.00
Last column: nearest neighbours and their distance in Å.
Fractional positions:
Hf (0.0000, 0.0000, 0.0000)  8 S 2.82
Hf (0.0000, 0.5000, 0.5000)  8 S 2.82
Hf (0.5000, 0.0000, 0.5000)  8 S 2.82
Hf (0.5000, 0.5000, 0.0000)  8 S 2.82
Au (0.0000, 0.0000, 0.5000)  8 S 2.82
Au (0.0000, 0.5000, 0.0000)  8 S 2.82
Au (0.5000, 0.0000, 0.0000)  8 S 2.82
Au (0.5000, 0.5000, 0.5000)  8 S 2.82
S (0.2500, 0.2500, 0.2500)  4 Hf 2.82, 4 Au 2.82
S (0.2500, 0.2500, 0.7500)  4 Hf 2.82, 4 Au 2.82
S (0.2500, 0.7500, 0.2500)  4 Hf 2.82, 4 Au 2.82
S (0.2500, 0.7500, 0.7500)  4 Hf 2.82, 4 Au 2.82
S (0.7500, 0.2500, 0.2500)  4 Hf 2.82, 4 Au 2.82
S (0.7500, 0.2500, 0.7500)  4 Hf 2.82, 4 Au 2.82
S (0.7500, 0.7500, 0.2500)  4 Hf 2.82, 4 Au 2.82
S (0.7500, 0.7500, 0.7500)  4 Hf 2.82, 4 Au 2.82

---

Material: Si2AgPbS6
Method: DFT, PBE-GGA
State: optimized geometry

Results
**Formation energy from raw total energies**: -0.406 eV/atom
**V**: 23.5 Å³ per atom
**E**: -46.23 eV per formula unit

Lattice parameters (Å, degrees): 8.7567 8.7567 6.3925 101.88 101.88 88.00
Last column: nearest neighbours and their distance in Å.
Fractional positions:
Si (0.1321, 0.2774, 0.2424)  4 S 2.11-2.18
Si (0.2774, 0.1321, 0.7424)  4 S 2.11-2.18
Si (0.7226, 0.8679, 0.2576)  4 S 2.11-2.18
Si (0.8679, 0.7226, 0.7576)  4 S 2.11-2.18
Ag (0.2013, 0.7987, 0.2500)  2 S 2.45
Ag (0.7987, 0.2013, 0.7500)  2 S 2.45
Pb (0.3731, 0.6269, 0.7500)  6 S 2.87-2.98
Pb (0.6269, 0.3731, 0.2500)  6 S 2.87-2.98
S (0.0753, 0.2034, 0.5234)  2 Si 2.18
S (0.0833, 0.6305, 0.9029)  1 Si 2.13
S (0.2034, 0.0753, 0.0234)  2 Si 2.18
S (0.3031, 0.4550, 0.3085)  1 Si 2.11
S (0.3695, 0.9167, 0.5971)  1 Si 2.13
S (0.4550, 0.3031, 0.8085)  1 Si 2.11
S (0.5450, 0.6969, 0.1915)  1 Si 2.11
S (0.6305, 0.0833, 0.4029)  1 Si 2.13
S (0.6969, 0.5450, 0.6915)  1 Si 2.11
S (0.7966, 0.9247, 0.9766)  2 Si 2.18
S (0.9167, 0.3695, 0.0971)  1 Si 2.13
S (0.9247, 0.7966, 0.4766)  2 Si 2.18